A geometry-optimized VTeMoO6 structure. Source: the Alexandria database, functional GGA+U.

abc: 5.2067 5.2067 9.1447
angles: 90.00 90.00 120.00
Last column: nearest neighbours and their distance in Å.
Space group P-31c (No. 163)
Symmetry-distinct sites (fractional):
1 V 0.3333 0.6667 0.2500 (multiplicity 2)  6 O 2.04
2 Te 0.3333 0.6667 0.7500 (multiplicity 2)  6 O 1.96
3 Mo 0.0000 0.0000 0.0000 (multiplicity 2)  6 O 2.20
4 O 0.0117 0.3562 0.6337 (multiplicity 12)  1 Te 1.96, 1 V 2.04

Properties
**Crystal system**: trigonal
**Electronic total energy**: -6.775 eV/atom